NdVP2Ru (GGA-PBE, relaxed); ΔH_f (0 K) = -0.94 eV per atom
1.0
4.084 0.000 0.000
0.000 4.084 0.000
-2.042 -2.042 5.045
Nd V P Ru
1 1 2 1
Cartesian
0.000 0.000 0.000
2.042 0.000 2.522
2.042 2.042 1.302
0.000 0.000 3.743
0.000 2.042 2.522

***

Nb3PbS6 (GGA-PBE, relaxed); ΔE_f (raw) = -1067 meV/atom
1.0
-3.068 -3.643 -3.408
3.668 -2.150 4.027
-11.101 -0.072 10.073
Nb Pb S
6 2 12
Cartesian
-8.326 -0.054 7.555
-2.775 -0.018 2.518
-1.353 -2.666 4.067
-9.149 -3.199 6.626
-3.598 -3.163 1.589
-6.903 -2.702 9.104
0.000 0.000 0.000
-5.551 -0.036 5.037
-2.652 -1.235 0.326
-0.388 -0.733 2.824
-1.223 -3.857 1.882
-6.970 -1.993 6.716
-3.532 -3.872 3.977
-9.209 -2.465 4.245
-4.736 -1.474 9.181
-7.045 -1.489 11.276
-9.279 -2.008 8.811
-2.697 -0.748 4.919
-4.961 -1.250 2.421
-11.518 -2.480 6.340

***

HAuS (GGA-PBE, relaxed); excess energy over the best structure of this formula in the dataset = 11.8 kJ/mol of atoms
1.0
4.358 -0.779 1.797
-1.323 3.216 1.086
-0.152 0.897 9.085
H Au S
2 2 2
Cartesian
-0.527 3.188 8.085
3.410 0.146 3.882
1.562 1.565 9.339
1.320 1.769 2.629
0.813 2.916 4.726
2.069 0.418 7.242

***

Ta2SnN2 (GGA-PBE, relaxed); ΔE_f (raw) = -481 meV/atom; excess energy over the best structure of this formula in the dataset = 0.0 kJ/mol of atoms
1.0
-2.209 2.763 -0.706
-2.713 -2.311 -0.556
-3.844 0.525 4.868
N Sn Ta
2 1 2
Cartesian
-4.257 1.757 1.766
-4.509 -0.780 1.840
0.000 0.000 0.000
-2.892 0.319 1.084
-5.874 0.658 2.522